Record 1
This record from the Alexandria database describes a geometry-optimized Ca2LaBr structure. The functional is PBE.

Values from the calculation:
E_form (uncorrected) (kcal/mol of atoms): -11.24
VASP energy (eV/atom): -3.138
SG: Immm (71)
Distance to the lowest polymorph of the same formula (meV/atom): 198
Size of the total moment (μB/atom): 0.001

Cell lengths 6.984, 6.984, 6.984 Å; angles 149.44, 126.26, 63.09 degrees
Sites, in units of the cell vectors:
Ca1 0.212 0.212 0.000
Ca2 0.788 0.788 0.000
La1 0.500 0.000 0.500
Br1 0.000 0.500 0.500

Record 2
This record from the Alexandria database describes a geometry-optimized CaLaBr3 structure. The functional is PBE.

Values from the calculation:
E_form (uncorrected) (kcal/mol of atoms): -28.05
VASP energy (eV/atom): -3.606
SG: Pm-3m (221)
Size of the total moment (μB/atom): 0.137

Cell lengths 5.902, 5.902, 5.902 Å; angles 90.00, 90.00, 90.00 degrees
Sites, in units of the cell vectors:
Ca1 0.000 0.000 0.000
La1 0.500 0.500 0.500
Br1 0.000 0.500 0.500
Br2 0.500 0.000 0.500
Br3 0.500 0.500 0.000

Record 3
This record from the Alexandria database describes a geometry-optimized CaLa2Br2N2 structure. The functional is PBE.

Values from the calculation:
E_form (uncorrected) (kcal/mol of atoms): -31.69
VASP energy (eV/atom): -5.924
SG: I4/mmm (139)
Size of the total moment (μB/atom): 0.000

Cell lengths 8.410, 8.410, 8.410 Å; angles 149.08, 149.08, 44.30 degrees
Sites, in units of the cell vectors:
Ca1 0.000 0.000 0.000
La1 0.404 0.404 0.000
La2 0.596 0.596 0.000
Br1 0.191 0.191 0.000
Br2 0.809 0.809 0.000
N1 0.000 0.500 0.500
N2 0.500 0.000 0.500

Number 1: density of states at the Fermi level 5.3 states/eV/f.u.. Number 2: density of states at the Fermi level 6.2 states/eV/f.u.. Number 3: density of states at the Fermi level 0.2 states/eV/f.u..